# 1
# PBE Sm3HgBi2, optimized geometry
data_Sm3HgBi2
_chemical_formula_sum 'Sm6 Hg2 Bi4'
_cell_length_a 6.376
_cell_length_b 9.024
_cell_length_c 7.850
_cell_angle_alpha 106.70
_cell_angle_beta 113.96
_cell_angle_gamma 90.00
_symmetry_space_group_name_H-M 'P 1'
_symmetry_Int_Tables_number 1
loop_
_symmetry_equiv_pos_as_xyz
'x,y,z'
loop_
_atom_site_label
_atom_site_fract_x
_atom_site_fract_y
_atom_site_fract_z
Sm1 0.500 0.250 0.000
Sm2 0.500 0.750 0.000
Sm3 0.171 0.085 0.342
Sm4 0.829 0.415 0.658
Sm5 0.171 0.585 0.342
Sm6 0.829 0.915 0.658
Hg1 0.000 0.750 0.000
Hg2 0.000 0.250 0.000
Bi1 0.666 0.583 0.333
Bi2 0.666 0.083 0.333
Bi3 0.334 0.917 0.667
Bi4 0.334 0.417 0.667
# Final energy, eV/atom: -4.3646
# Crystal system: orthorhombic

# 2
# PBE Sm4HgBi5, optimized geometry
data_Sm4HgBi5
_chemical_formula_sum 'Sm4 Hg1 Bi5'
_cell_length_a 4.494
_cell_length_b 8.703
_cell_length_c 8.703
_cell_angle_alpha 82.17
_cell_angle_beta 75.04
_cell_angle_gamma 75.04
_symmetry_space_group_name_H-M 'P 1'
_symmetry_Int_Tables_number 1
loop_
_symmetry_equiv_pos_as_xyz
'x,y,z'
loop_
_atom_site_label
_atom_site_fract_x
_atom_site_fract_y
_atom_site_fract_z
Sm1 0.250 0.291 0.709
Sm2 0.997 0.253 0.253
Sm3 0.503 0.747 0.747
Sm4 0.250 0.709 0.291
Hg1 0.250 0.000 0.000
Bi1 0.585 0.341 0.989
Bi2 0.915 0.011 0.659
Bi3 0.750 0.500 0.500
Bi4 0.585 0.989 0.341
Bi5 0.915 0.659 0.011
# Final energy, eV/atom: -4.5132
# Crystal system: orthorhombic

# 3
# PBE Sm2HgBi4, optimized geometry
data_Sm2HgBi4
_chemical_formula_sum 'Sm2 Hg1 Bi4'
_cell_length_a 6.989
_cell_length_b 6.989
_cell_length_c 6.737
_cell_angle_alpha 121.54
_cell_angle_beta 121.54
_cell_angle_gamma 89.41
_symmetry_space_group_name_H-M 'P 1'
_symmetry_Int_Tables_number 1
loop_
_symmetry_equiv_pos_as_xyz
'x,y,z'
loop_
_atom_site_label
_atom_site_fract_x
_atom_site_fract_y
_atom_site_fract_z
Sm1 0.286 0.786 0.571
Sm2 0.786 0.286 0.571
Hg1 0.786 0.786 0.571
Bi1 0.786 0.786 0.072
Bi2 0.286 0.286 0.071
Bi3 0.786 0.286 0.071
Bi4 0.286 0.786 0.071
# Final energy, eV/atom: -4.0527
# Crystal system: monoclinic

Across the entries above, calculated volume takes the values 391.8 316.8 222.8 Å³ per cell, respectively.